Entry 1:
Entry from the Open Quantum Materials Database: an optimized crystal structure of LaBAu (GGA-PBE).

Computed properties:
* crystal system: cubic
* relative energy among the computed polymorphs: 0.0 meV per atom

```
data_LaBAu
_symmetry_space_group_name_H-M 'F -4 3 m'
_symmetry_Int_Tables_number 216
_symmetry_space_group_name_Hall 'F -4 2 3'
_cell_length_a 6.553
_cell_length_b 6.553
_cell_length_c 6.553
_cell_angle_alpha 90.00
_cell_angle_beta 90.00
_cell_angle_gamma 90.00
loop_
_atom_site_label
_atom_site_type_symbol
_atom_site_fract_x
_atom_site_fract_y
_atom_site_fract_z
_atom_site_occupancy
La1 La 0.000 0.000 0.000 1
B1 B 0.000 0.000 0.500 1
Au1 Au 0.250 0.250 0.750 1
```



Entry 2:
Entry from the Open Quantum Materials Database: an optimized crystal structure of CsCoAuSe3 (GGA-PBE).

Computed properties:
* energy: -3.882 eV/atom
* crystal system: orthorhombic

```
data_CsCoAuSe3
_symmetry_space_group_name_H-M 'C m c m'
_symmetry_Int_Tables_number 63
_symmetry_space_group_name_Hall '-C 2c 2'
_cell_length_a 3.683
_cell_length_b 17.028
_cell_length_c 10.113
_cell_angle_alpha 90.00
_cell_angle_beta 90.00
_cell_angle_gamma 90.00
loop_
_atom_site_label
_atom_site_type_symbol
_atom_site_fract_x
_atom_site_fract_y
_atom_site_fract_z
_atom_site_occupancy
Cs1 Cs 0.000 0.237 0.250 1
Co1 Co 0.000 0.500 0.000 1
Au1 Au 0.000 0.088 0.750 1
Se1 Se 0.000 0.093 0.507 1
Se2 Se 0.000 0.458 0.750 1
```



Entry 3:
Entry from the Open Quantum Materials Database: an optimized crystal structure of Al4Ni2Au (GGA-PBE).

Computed properties:
* energy: -4.593 eV/atom
* crystal system: trigonal

```
data_Al4Ni2Au
_symmetry_space_group_name_H-M 'R -3 m'
_symmetry_Int_Tables_number 166
_symmetry_space_group_name_Hall '-R 3 2"'
_cell_length_a 3.8351
_cell_length_b 3.8351
_cell_length_c 26.1812
_cell_angle_alpha 90.00
_cell_angle_beta 90.00
_cell_angle_gamma 120.00
loop_
_atom_site_label
_atom_site_type_symbol
_atom_site_fract_x
_atom_site_fract_y
_atom_site_fract_z
_atom_site_occupancy
Al1 Al 0.0000 0.0000 0.1063 1
Al2 Al 0.0000 0.0000 0.3038 1
Ni1 Ni 0.0000 0.0000 0.3995 1
Au1 Au 0.0000 0.0000 0.5000 1
```



Copy entry 1 word for word.
Entry from the Open Quantum Materials Database: an optimized crystal structure of LaBAu (GGA-PBE).

Computed properties:
* crystal system: cubic
* relative energy among the computed polymorphs: 0.0 meV per atom

```
data_LaBAu
_symmetry_space_group_name_H-M 'F -4 3 m'
_symmetry_Int_Tables_number 216
_symmetry_space_group_name_Hall 'F -4 2 3'
_cell_length_a 6.553
_cell_length_b 6.553
_cell_length_c 6.553
_cell_angle_alpha 90.00
_cell_angle_beta 90.00
_cell_angle_gamma 90.00
loop_
_atom_site_label
_atom_site_type_symbol
_atom_site_fract_x
_atom_site_fract_y
_atom_site_fract_z
_atom_site_occupancy
La1 La 0.000 0.000 0.000 1
B1 B 0.000 0.000 0.500 1
Au1 Au 0.250 0.250 0.750 1
```